No. 1
Tl2SbPb: relaxed, PBEsol.

Output
The value obtained for the formation energy from raw total energies is 0.0063 eV per atom. The total magnetization is 0.00 μB per atom. Its total energy is -3.45 eV/atom.

abc: 4.6667 4.6667 10.5238
angles: 90.00 90.00 90.00
Closest atoms and distances in Å follow each position.
Space group I4/mmm (No. 139)
Asymmetric unit:
Tl 0.0000 0.5000 0.2500  4 Tl 3.30, 4 Pb 3.52, 4 Sb 3.52
Sb 0.0000 0.0000 0.0000  4 Pb 3.30, 8 Tl 3.52
Pb 0.0000 0.0000 0.5000  4 Sb 3.30, 8 Tl 3.52

***

No. 2
Sr6GaN5: relaxed, PBEsol.

Output
The value obtained for the formation energy from raw total energies is -0.7110 eV per atom. The total magnetization is 0.00 μB per atom. Its total energy is -5.46 eV/atom.

abc: 6.6298 6.6298 12.8836
angles: 90.00 90.00 120.00
Closest atoms and distances in Å follow each position.
Space group P6_3/mcm (No. 193)
Asymmetric unit:
Sr 0.0000 0.4072 0.1240  3 N 2.57-2.61
Ga 0.0000 0.0000 0.2500  3 N 1.89
N 0.0000 0.2855 0.7500  1 Ga 1.89
N 0.3333 0.6667 0.0000  6 Sr 2.57

***

No. 3
Ba2YCu3PbO7: relaxed, PBEsol.

Output
The value obtained for the formation energy from raw total energies is -1.8097 eV per atom. The total magnetization is 0.00 μB per atom. Its total energy is -6.44 eV/atom.

abc: 28.1398 3.8222 3.8372
angles: 90.00 96.97 90.00
Closest atoms and distances in Å follow each position.
Space group Cm (No. 8)
Asymmetric unit:
Ba 0.0000 0.0000 0.0000  8 O 2.72-2.91
Ba 0.2406 0.5000 0.7686  9 O 2.65-2.94
Y 0.3707 0.5000 0.8843  8 O 2.38-2.39
Cu 0.0819 0.5000 0.6072  2 O 1.79-1.83
Cu 0.3141 0.0000 0.3340  4 O 1.92-1.93
Cu 0.4280 0.0000 0.4355  4 O 1.92-1.93
Pb 0.1417 0.0000 0.1507  1 O 2.18
O 0.0182 0.5000 0.5047  1 Cu 1.79
O 0.1461 0.5000 0.7568  1 Cu 1.83
O 0.2195 0.0000 0.2533  1 Pb 2.18
O 0.3201 0.0000 0.8392  2 Cu 1.93
O 0.3203 0.5000 0.3392  2 Cu 1.92
O 0.4219 0.0000 0.9300  2 Cu 1.93
O 0.4218 0.5000 0.4300  2 Cu 1.92

***

No. 4
SrSnSbTe2: relaxed, PBEsol.

Output
The value obtained for the formation energy from raw total energies is 0.4627 eV per atom. The total magnetization is 0.00 μB per atom. Its total energy is -3.08 eV/atom.

abc: 5.9200 5.9200 5.8145
angles: 90.00 90.00 90.00
Closest atoms and distances in Å follow each position.
Space group P4/mmm (No. 123)
Asymmetric unit:
Sr 0.0000 0.0000 0.0000  2 Sb 2.91, 4 Te 2.96
Sn 0.5000 0.5000 0.5000  8 Te 4.15, 4 Sb 4.19
Sb 0.0000 0.0000 0.5000  2 Sr 2.91
Te 0.0000 0.5000 0.0000  2 Sr 2.96

***

No. 5
K2LiMo: relaxed, PBEsol.

Output
As for the energy of formation from the pure elements: 1433 meV/atom. The total magnetization is 1.25 μB per atom. Its total energy is -2.57 eV/atom.

abc: 9.5723 9.5723 6.6213
angles: 90.00 90.00 90.00
Closest atoms and distances in Å follow each position.
Space group I-42d (No. 122)
Asymmetric unit:
K 0.2352 0.7500 0.1250  2 K 3.32, 2 Li 3.39, 2 Mo 3.58
Li 0.0000 0.0000 0.0000  2 Mo 3.31, 4 K 3.39
Mo 0.0000 0.0000 0.5000  2 Li 3.31, 4 K 3.58

***

No. 6
CoB3O: relaxed, PBEsol.

Output
The value obtained for the formation energy from raw total energies is 1.1662 eV per atom. The total magnetization is 0.32 μB per atom. Its total energy is -5.64 eV/atom.

abc: 3.6918 3.6918 3.6918
angles: 90.00 90.00 90.00
Closest atoms and distances in Å follow each position.
Space group Pm-3m (No. 221)
Asymmetric unit:
Co 0.0000 0.0000 0.0000  6 B 1.85
B 0.0000 0.0000 0.5000  2 Co 1.85
O 0.5000 0.5000 0.5000  12 B 2.61

***

No. 7
LiPtW2: relaxed, PBEsol.

Output
As for the energy of formation from the pure elements: 102 meV/atom. The total magnetization is 0.00 μB per atom. Its total energy is -9.03 eV/atom.

abc: 3.6721 3.6721 8.5175
angles: 90.00 90.00 90.00
Closest atoms and distances in Å follow each position.
Space group I4/mmm (No. 139)
Asymmetric unit:
Li 0.0000 0.0000 0.0000  4 Pt 2.60, 8 W 2.81
Pt 0.0000 0.0000 0.5000  4 Li 2.60, 8 W 2.81
W 0.0000 0.5000 0.2500  4 W 2.60, 4 Li 2.81, 4 Pt 2.81

***

No. 8
Tl2SiPb: relaxed, PBEsol.

Output
The value obtained for the formation energy from raw total energies is 0.2902 eV per atom. The total magnetization is 0.00 μB per atom. Its total energy is -3.46 eV/atom.

abc: 3.4779 3.4779 8.3479
angles: 90.00 90.00 90.00
Closest atoms and distances in Å follow each position.
Space group P4/mmm (No. 123)
Asymmetric unit:
Tl 0.0000 0.0000 0.2165  4 Si 3.05, 4 Pb 3.41
Si 0.5000 0.5000 0.0000  8 Tl 3.05
Pb 0.5000 0.5000 0.5000  8 Tl 3.41, 4 Pb 3.48

***

No. 9
Mn2InTeP: relaxed, PBEsol.

Output
The value obtained for the formation energy from raw total energies is 0.3799 eV per atom. The total magnetization is 1.74 μB per atom. Its total energy is -5.98 eV/atom.

abc: 4.6110 4.6110 5.2258
angles: 90.00 90.00 90.00
Closest atoms and distances in Å follow each position.
Space group P4/mmm (No. 123)
Asymmetric unit:
Mn 0.0000 0.5000 0.0000  2 P 2.31
In 0.0000 0.0000 0.5000  2 P 2.61
Te 0.5000 0.5000 0.5000  4 In 3.26, 8 Mn 3.48
P 0.0000 0.0000 0.0000  4 Mn 2.31

***

No. 10
RbSc3I: relaxed, PBEsol.

Output
The value obtained for the formation energy from raw total energies is 1.4109 eV per atom. The total magnetization is 0.00 μB per atom. Its total energy is -3.11 eV/atom.

abc: 5.1966 5.1966 5.1966
angles: 90.00 90.00 90.00
Closest atoms and distances in Å follow each position.
Space group Pm-3m (No. 221)
Asymmetric unit:
Rb 0.0000 0.0000 0.0000  6 Sc 2.60
Sc 0.0000 0.0000 0.5000  2 Rb 2.60
I 0.5000 0.5000 0.5000  12 Sc 3.67

***

No. 11
La2Cu2I: relaxed, PBEsol.

Output
The value obtained for the formation energy from raw total energies is -0.5850 eV per atom. The total magnetization is 0.00 μB per atom. Its total energy is -4.81 eV/atom.

abc: 4.1960 4.1960 17.0935
angles: 90.00 90.00 120.00
Closest atoms and distances in Å follow each position.
Space group P6_3/mmc (No. 194)
Asymmetric unit:
La 0.0000 0.0000 0.1071  6 Cu 3.03-3.04
Cu 0.3333 0.6667 0.9996  3 Cu 2.42
I 0.3333 0.6667 0.2500  6 La 3.44

***

No. 12
Zn2Cd3: relaxed, PBEsol.

Output
As for the energy of formation from the pure elements: 77 meV/atom. The total magnetization is 0.00 μB per atom. Its total energy is -1.27 eV/atom.

abc: 3.0640 3.0640 33.9832
angles: 90.00 90.00 120.00
Closest atoms and distances in Å follow each position.
Space group R-3m (No. 166, hexagonal axes)
Asymmetric unit:
Zn 0.0000 0.0000 0.1015  6 Cd 2.83-2.84, 6 Zn 3.06
Cd 0.0000 0.0000 0.2968  3 Zn 2.83, 9 Cd 3.05-3.06
Cd 0.0000 0.0000 0.5000  6 Zn 2.84, 6 Cd 3.06

***

No. 13
MgSe2N2: relaxed, PBEsol.

Output
The value obtained for the formation energy from raw total energies is 1.8343 eV per atom. The total magnetization is 0.48 μB per atom. Its total energy is -3.46 eV/atom.

abc: 5.0328 5.0328 3.9361
angles: 90.00 90.00 90.00
Closest atoms and distances in Å follow each position.
Space group P4/mmm (No. 123)
Asymmetric unit:
Mg 0.0000 0.0000 0.0000  2 N 1.97
Se 0.0000 0.5000 0.0000  2 Mg 2.52
N 0.0000 0.0000 0.5000  2 Mg 1.97
N 0.5000 0.5000 0.5000  8 Se 3.19, 4 N 3.56

***

No. 14
Al2CrSe: relaxed, PBEsol.

Output
The value obtained for the formation energy from raw total energies is -0.0104 eV per atom. The total magnetization is 0.42 μB per atom. Its total energy is -5.58 eV/atom.

abc: 3.2426 3.2426 5.6690
angles: 90.00 90.00 90.00
Closest atoms and distances in Å follow each position.
Space group P4/mmm (No. 123)
Asymmetric unit:
Al 0.0000 0.0000 0.2289  1 Al 2.60, 4 Cr 2.63, 4 Se 2.76
Cr 0.5000 0.5000 0.0000  8 Al 2.63, 2 Se 2.83
Se 0.5000 0.5000 0.5000  8 Al 2.76, 2 Cr 2.83

***

No. 15
Sc2Ir: relaxed, PBEsol.

Output
As for the energy of formation from the pure elements: -713 meV/atom. The total magnetization is 0.00 μB per atom. Its total energy is -8.39 eV/atom.

abc: 6.9038 6.9038 4.1771
angles: 90.00 90.00 120.00
Closest atoms and distances in Å follow each position.
Space group P-62m (No. 189)
Asymmetric unit:
Sc 0.0000 0.4143 0.0000  5 Ir 2.86-2.95, 2 Sc 3.08
Sc 0.0000 0.7429 0.5000  4 Ir 2.60-2.74
Ir 0.0000 0.0000 0.0000  9 Sc 2.74-2.86
Ir 0.3333 0.6667 0.5000  3 Sc 2.60

***

No. 16
KZrW2: relaxed, PBEsol.

Output
As for the energy of formation from the pure elements: 1124 meV/atom. The total magnetization is 0.00 μB per atom. Its total energy is -8.34 eV/atom.

abc: 3.2945 4.7145 14.3424
angles: 90.00 90.00 90.00
Closest atoms and distances in Å follow each position.
Space group Imm2 (No. 44)
Asymmetric unit:
K 0.0000 0.0000 0.0000  2 K 3.29, 6 W 3.59-3.64
Zr 0.0000 0.5000 0.2362  6 W 2.82-2.88
W 0.0000 0.0000 0.3442  2 W 2.41
W 0.0000 0.5000 0.7221  2 W 2.41

***

No. 17
ErAl9Ni3: relaxed, PBEsol.

Output
As for the energy of formation from the pure elements: -524 meV/atom. The total magnetization is 0.00 μB per atom. Its total energy is -5.16 eV/atom.

abc: 7.2743 7.2743 27.3692
angles: 90.00 90.00 120.00
Closest atoms and distances in Å follow each position.
Space group R32 (No. 155, hexagonal axes)
Asymmetric unit:
Er 0.0000 0.0000 0.1669  11 Al 2.98-3.15, 6 Ni 3.27-3.28
Al 0.0000 0.0000 0.0519  3 Ni 2.57, 7 Al 2.76-2.84
Al 0.0000 0.0000 0.2820  3 Ni 2.57, 7 Al 2.77-2.87
Al 0.0000 0.0000 0.3869  3 Ni 2.62, 7 Al 2.71-2.87
Al 0.0000 0.3302 0.4329  3 Ni 2.43-2.47, 1 Al 2.71
Al 0.0000 0.6661 0.0000  2 Ni 2.33
Al 0.0000 0.7908 0.5000  2 Ni 2.43, 2 Al 2.64
Ni 0.0000 0.6600 0.4184  7 Al 2.33-2.57

***

No. 18
CaTcP2S: relaxed, PBEsol.

Output
The value obtained for the formation energy from raw total energies is 1.5240 eV per atom. The total magnetization is 0.74 μB per atom. Its total energy is -4.35 eV/atom.

abc: 5.0048 5.0048 4.9281
angles: 90.00 90.00 90.00
Closest atoms and distances in Å follow each position.
Space group P4/mmm (No. 123)
Asymmetric unit:
Ca 0.0000 0.0000 0.0000  2 S 2.46, 4 P 2.50
Tc 0.5000 0.5000 0.5000  8 P 3.51, 4 S 3.54
P 0.0000 0.5000 0.0000  2 Ca 2.50
S 0.0000 0.0000 0.5000  2 Ca 2.46

***

No. 19
Sb2OsPbI: relaxed, PBEsol.

Output
The value obtained for the formation energy from raw total energies is 2.0915 eV per atom. The total magnetization is 0.58 μB per atom. Its total energy is -3.33 eV/atom.

abc: 5.6529 5.6529 5.7192
angles: 90.00 90.00 90.00
Closest atoms and distances in Å follow each position.
Space group P4/mmm (No. 123)
Asymmetric unit:
Sb 0.0000 0.5000 0.0000  2 Pb 2.83
Os 0.0000 0.0000 0.5000  4 I 4.00, 8 Sb 4.02
Pb 0.5000 0.5000 0.0000  4 Sb 2.83, 2 I 2.86
I 0.5000 0.5000 0.5000  2 Pb 2.86

***

No. 20
LaMgTiFeO6: relaxed, PBEsol.

Output
The value obtained for the formation energy from raw total energies is -2.6153 eV per atom. The total magnetization is 0.10 μB per atom. Its total energy is -8.20 eV/atom.

abc: 5.2391 5.3718 9.0883
angles: 90.00 124.93 90.00
Closest atoms and distances in Å follow each position.
Space group Pc (No. 7)
Asymmetric unit:
La 0.0000 0.2174 0.0000  6 O 2.34-2.57
Mg 0.5322 0.3007 0.5010  6 O 2.14-2.31
Ti 0.2552 0.2555 0.7478  6 O 1.92-2.00
Fe 0.7556 0.2489 0.2496  6 O 1.88-1.95
O 0.1235 0.2376 0.4960  1 Fe 1.95, 1 Ti 1.98, 1 Mg 2.14
O 0.4436 0.2830 0.0025  1 Fe 1.88, 1 Ti 1.93
O 0.5089 0.0489 0.3035  1 Fe 1.95, 1 Ti 1.98
O 0.5736 0.4874 0.7942  1 Fe 1.88, 1 Ti 1.93
O 0.8956 0.0469 0.6959  1 Fe 1.93, 1 Ti 2.00
O 0.9712 0.4811 0.2028  1 Fe 1.89, 1 Ti 1.92